# Ac2Pr7Er4

A geometry-optimized Ac2Pr7Er4 structure (PBE, Alexandria via LeMat-Bulk).

a b c (Å): 6.3768 6.3768 13.2950
angles (deg): 90.00 90.00 120.00
With the nearest neighbours (Å) after each atom.
Sites, in units of the cell vectors:
Ac 0.3333 0.6667 0.0000  3 Ac 3.68, 9 Pr 3.68-3.69
Ac 0.6667 0.3333 0.0000  3 Ac 3.68, 9 Pr 3.68-3.69
Pr 0.0000 0.3751 0.7675  1 Er 3.21, 4 Pr 3.47
Pr 0.6249 0.0000 0.2325  1 Er 3.21, 4 Pr 3.47
Pr 0.6249 0.6249 0.7675  1 Er 3.21, 4 Pr 3.47
Pr 0.0000 0.0000 0.0000  6 Ac 3.68, 6 Pr 3.91
Pr 0.3751 0.0000 0.7675  1 Er 3.21, 4 Pr 3.47
Pr 0.3751 0.3751 0.2325  1 Er 3.21, 4 Pr 3.47
Pr 0.0000 0.6249 0.2325  1 Er 3.21, 4 Pr 3.47
Er 0.3333 0.6667 0.5000  9 Er 3.68-3.95, 6 Pr 4.08
Er 0.6667 0.3333 0.5000  9 Er 3.68-3.95, 6 Pr 4.08
Er 0.0000 0.0000 0.3933  1 Er 2.84
Er 0.0000 0.0000 0.6067  1 Er 2.84

Summary:
Energy of formation: 2.7 eV/f.u.

# Sb2PbSe

A geometry-optimized Sb2PbSe structure (PBE, Alexandria via LeMat-Bulk).

a b c (Å): 3.6422 3.6422 8.0822
angles (deg): 90.00 90.00 90.00
With the nearest neighbours (Å) after each atom.
Sites, in units of the cell vectors:
Se 0.5000 0.5000 0.2500  8 Sb 3.12
Sb 0.0000 0.0000 0.4683  4 Se 3.12, 4 Pb 3.44
Sb 0.0000 0.0000 0.0317  4 Se 3.12, 4 Pb 3.44
Pb 0.5000 0.5000 0.7500  8 Sb 3.44, 4 Pb 3.64

Summary:
Formation energy from raw total energies: 155 meV per atom

# Ac2Pm3Nd

A geometry-optimized Ac2Pm3Nd structure (PBE, Alexandria via LeMat-Bulk).

a b c (Å): 3.6038 10.6065 16.7705
angles (deg): 47.86 83.83 80.22
With the nearest neighbours (Å) after each atom.
Sites, in units of the cell vectors:
Ac 0.6258 0.1217 0.6266  2 Ac 3.60, 6 Pm 3.64-3.80, 2 Nd 3.66-3.67
Ac 0.8749 0.3759 0.8744  2 Ac 3.60, 6 Pm 3.65-3.80, 2 Nd 3.80
Ac 0.1251 0.6241 0.1256  2 Ac 3.60, 6 Pm 3.65-3.80, 2 Nd 3.80
Ac 0.3742 0.8783 0.3734  2 Ac 3.60, 6 Pm 3.64-3.80, 2 Nd 3.66-3.67
Pm 0.7015 0.7005 0.8965  6 Pm 3.60-3.68, 4 Ac 3.64-3.80
Pm 0.9513 0.9525 0.1450  4 Pm 3.60-3.68, 4 Ac 3.65-3.80, 2 Nd 3.69
Pm 0.2015 0.2005 0.3965  4 Pm 3.60-3.67, 4 Ac 3.64-3.80, 2 Nd 3.69
Pm 0.7985 0.7995 0.6035  4 Pm 3.60-3.67, 4 Ac 3.64-3.80, 2 Nd 3.69
Pm 0.2985 0.2995 0.1035  6 Pm 3.60-3.68, 4 Ac 3.64-3.80
Pm 0.0487 0.0475 0.8550  4 Pm 3.60-3.68, 4 Ac 3.65-3.80, 2 Nd 3.69
Nd 0.4516 0.4518 0.6449  2 Nd 3.60, 4 Ac 3.66-3.80, 4 Pm 3.69
Nd 0.5484 0.5482 0.3551  2 Nd 3.60, 4 Ac 3.66-3.80, 4 Pm 3.69

Summary:
Energy of formation: 1.3 eV/f.u.

# Ti2Nb5Ru

A geometry-optimized Ti2Nb5Ru structure (PBE, Alexandria via LeMat-Bulk).

a b c (Å): 3.2185 6.5344 13.0942
angles (deg): 90.00 90.00 90.00
With the nearest neighbours (Å) after each atom.
Sites, in units of the cell vectors:
Nb 0.0000 0.5200 0.2509  4 Nb 2.79-2.87, 4 Ti 2.86-2.88
Nb 0.0000 0.5000 0.5000  4 Nb 2.78, 4 Ti 2.86
Nb 0.5000 0.2428 0.8762  6 Nb 2.78-2.87, 2 Ru 2.84
Nb 0.0000 0.0200 0.2491  4 Nb 2.79-2.87, 4 Ti 2.86-2.88
Nb 0.0000 0.4800 0.7491  4 Nb 2.79-2.87, 4 Ti 2.86-2.88
Nb 0.5000 0.7428 0.6238  6 Nb 2.78-2.87, 2 Ru 2.84
Nb 0.0000 0.9800 0.7509  4 Nb 2.79-2.87, 4 Ti 2.86-2.88
Nb 0.5000 0.7572 0.1238  6 Nb 2.78-2.87, 2 Ru 2.84
Nb 0.5000 0.2572 0.3762  6 Nb 2.78-2.87, 2 Ru 2.84
Nb 0.0000 0.0000 0.0000  4 Nb 2.78, 4 Ti 2.86
Ru 0.0000 0.0000 0.5000  4 Ti 2.68, 4 Nb 2.84
Ru 0.0000 0.5000 0.0000  4 Ti 2.68, 4 Nb 2.84
Ti 0.5000 0.2255 0.6182  2 Ru 2.68, 6 Nb 2.86-2.88
Ti 0.5000 0.2745 0.1182  2 Ru 2.68, 6 Nb 2.86-2.88
Ti 0.5000 0.7745 0.3818  2 Ru 2.68, 6 Nb 2.86-2.88
Ti 0.5000 0.7255 0.8818  2 Ru 2.68, 6 Nb 2.86-2.88

Summary:
Energy of formation: -1.2 eV/f.u.

# DyY3Hg4

A geometry-optimized DyY3Hg4 structure (PBE, Alexandria via LeMat-Bulk).

a b c (Å): 3.7275 3.7275 14.9076
angles (deg): 90.00 90.00 90.00
With the nearest neighbours (Å) after each atom.
Sites, in units of the cell vectors:
Y 0.5000 0.5000 0.7503  8 Hg 3.23
Y 0.5000 0.5000 0.5000  8 Hg 3.23
Y 0.5000 0.5000 0.2497  8 Hg 3.23
Hg 0.0000 0.0000 0.1241  4 Dy 3.22, 4 Y 3.23
Hg 0.0000 0.0000 0.3749  8 Y 3.23
Hg 0.0000 0.0000 0.6251  8 Y 3.23
Hg 0.0000 0.0000 0.8759  4 Dy 3.22, 4 Y 3.23
Dy 0.5000 0.5000 0.0000  8 Hg 3.22

Summary:
Energy of formation: -4.0 eV/f.u.

# Pm2Te4Pb

A geometry-optimized Pm2Te4Pb structure (PBE, Alexandria via LeMat-Bulk).

a b c (Å): 4.6145 8.0630 13.2292
angles (deg): 90.00 90.00 90.00
With the nearest neighbours (Å) after each atom.
Sites, in units of the cell vectors:
Te 0.0000 0.1434 0.7235  1 Pb 3.17, 4 Pm 3.22-3.25
Te 0.5000 0.7320 0.5414  2 Pm 3.12-3.15, 2 Pb 3.21
Te 0.5000 0.2320 0.9586  2 Pm 3.12-3.15, 2 Pb 3.21
Te 0.0000 0.6434 0.7765  1 Pb 3.17, 4 Pm 3.22-3.25
Te 0.5000 0.2680 0.4586  2 Pm 3.12-3.15, 2 Pb 3.21
Te 0.0000 0.8566 0.2765  1 Pb 3.17, 4 Pm 3.22-3.25
Te 0.5000 0.7680 0.0414  2 Pm 3.12-3.15, 2 Pb 3.21
Te 0.0000 0.3566 0.2235  1 Pb 3.17, 4 Pm 3.22-3.25
Pb 0.0000 0.5000 0.0000  6 Te 3.17-3.21
Pb 0.0000 0.0000 0.5000  6 Te 3.17-3.21
Pm 0.5000 0.0890 0.1777  6 Te 3.12-3.25
Pm 0.5000 0.9110 0.8223  6 Te 3.12-3.25
Pm 0.5000 0.4110 0.6777  6 Te 3.12-3.25
Pm 0.5000 0.5890 0.3223  6 Te 3.12-3.25

Summary:
Formation energy from raw total energies: -1059 meV per atom

# NbSb3W

A geometry-optimized NbSb3W structure (PBE, Alexandria via LeMat-Bulk).

a b c (Å): 5.2349 5.2349 5.2349
angles (deg): 90.00 90.00 90.00
With the nearest neighbours (Å) after each atom.
Sites, in units of the cell vectors:
Nb 0.5000 0.5000 0.5000  12 Sb 3.70
W 0.0000 0.0000 0.0000  6 Sb 2.62
Sb 0.0000 0.5000 0.0000  2 W 2.62
Sb 0.0000 0.0000 0.5000  2 W 2.62
Sb 0.5000 0.0000 0.0000  2 W 2.62

Summary:
Formation energy from raw total energies: 1201 meV per atom

# PmDyMnCu

A geometry-optimized PmDyMnCu structure (PBE, Alexandria via LeMat-Bulk).

a b c (Å): 5.0192 5.0192 5.0192
angles (deg): 60.00 60.00 60.00
With the nearest neighbours (Å) after each atom.
Sites, in units of the cell vectors:
Dy 0.5000 0.5000 0.5000  4 Cu 3.07, 4 Mn 3.07
Pm 0.0000 0.0000 0.0000  4 Mn 3.07, 4 Cu 3.07
Cu 0.2500 0.2500 0.2500  4 Dy 3.07, 4 Pm 3.07
Mn 0.7500 0.7500 0.7500  4 Dy 3.07, 4 Pm 3.07

Summary:
Energy of formation: 0.3 eV/f.u.

# ZrBrO3

A geometry-optimized ZrBrO3 structure (PBE, Alexandria via LeMat-Bulk).

a b c (Å): 4.1786 4.1786 4.1786
angles (deg): 90.00 90.00 90.00
With the nearest neighbours (Å) after each atom.
Sites, in units of the cell vectors:
Br 0.5000 0.5000 0.5000  12 O 2.95
Zr 0.0000 0.0000 0.0000  6 O 2.09
O 0.0000 0.0000 0.5000  2 Zr 2.09
O 0.0000 0.5000 0.0000  2 Zr 2.09
O 0.5000 0.0000 0.0000  2 Zr 2.09

Summary:
Formation energy from raw total energies: -1283 meV per atom

# CrSbS2

A geometry-optimized CrSbS2 structure (PBE, Alexandria via LeMat-Bulk).

a b c (Å): 15.2053 6.3436 6.3436
angles (deg): 89.61 132.51 47.49
With the nearest neighbours (Å) after each atom.
Sites, in units of the cell vectors:
Sb 0.1583 0.4436 0.8881  1 S 2.60, 2 Cr 2.82
Sb 0.6583 0.6119 0.0564  1 S 2.60, 2 Cr 2.82
S 0.1814 0.1322 0.6239  2 Cr 2.24
S 0.4377 0.4447 0.4490  2 Cr 2.26
S 0.6814 0.8761 0.3678  2 Cr 2.24
S 0.9377 0.0510 0.0553  2 Cr 2.26
Cr 0.7399 0.6958 0.8043  4 S 2.24-2.26
Cr 0.2399 0.6957 0.8042  4 S 2.24-2.26

Summary:
Formation energy from raw total energies: -259 meV per atom

# CuReTcTe2

A geometry-optimized CuReTcTe2 structure (PBE, Alexandria via LeMat-Bulk).

a b c (Å): 4.9640 4.6313 4.9640
angles (deg): 90.00 90.00 90.00
With the nearest neighbours (Å) after each atom.
Sites, in units of the cell vectors:
Cu 0.0000 0.0000 0.0000  2 Re 2.32, 4 Te 2.48
Tc 0.5000 0.5000 0.5000  8 Te 3.39, 4 Re 3.51
Re 0.0000 0.5000 0.0000  2 Cu 2.32
Te 0.5000 0.0000 0.0000  2 Cu 2.48
Te 0.0000 0.0000 0.5000  2 Cu 2.48

Summary:
Formation energy from raw total energies: 1684 meV per atom

# HgSbSe2

A geometry-optimized HgSbSe2 structure (PBE, Alexandria via LeMat-Bulk).

a b c (Å): 4.1008 4.1008 7.7907
angles (deg): 74.74 74.74 60.00
With the nearest neighbours (Å) after each atom.
Sites, in units of the cell vectors:
Se 0.0758 0.0758 0.7726  3 Sb 2.89, 3 Hg 3.08
Se 0.2586 0.2586 0.2243  3 Sb 2.91, 3 Hg 3.16
Hg 0.4978 0.4978 0.5065  6 Se 3.08-3.16
Sb 0.6678 0.6678 0.9966  6 Se 2.89-2.91

Summary:
Formation energy from raw total energies: -116 meV per atom